1.
DFT (PBE-GGA) results for a relaxed Ac2BiTe3 crystal.

The space group is C2/c (No. 15) and the conventional cell measures 15.8735, 6.5684 and 9.3110 Å, with angles of 90.00, 105.94 and 90.00 degrees. The asymmetric unit holds Ac at (0.1512, 0.0038, 0.0714), Bi at (0.0000, 0.2518, 0.2500), Te at (0.0000, 0.1976, 0.7500) and Te at (0.1952, 0.4985, 0.6048).

The raw formation energy comes out at -1.13 eV per atom. The value obtained for the raw total energy is -28.3 eV/f.u. The value obtained for the total magnetization is 0.00 μB per cell.

=====

2.
DFT (PBE-GGA) results for a relaxed LiCa2Zn2Cu crystal.

The space group is Ibam (No. 72) and the conventional cell measures 6.1380, 13.9957 and 6.2106 Å, with angles of 90.00, 90.00 and 90.00 degrees. The asymmetric unit holds Li at (0.0000, 0.0000, 0.2500), Ca at (0.2497, 0.1660, 0.0000), Zn at (0.2309, 0.3992, 0.0000) and Cu at (0.0000, 0.5000, 0.2500).

As for the formation energy: -3.820 kcal/mol of atoms. The value obtained for the raw total energy is -13.6 eV/f.u. The value obtained for the total magnetization is 0.00 μB per cell.

=====

3.
DFT (PBE-GGA) results for a relaxed GaNi crystal.

The space group is P6_3/m (No. 176) and the conventional cell measures 6.6663, 6.6663 and 4.4663 Å, with angles of 90.00, 90.00 and 120.00 degrees. The asymmetric unit holds Ga at (0.0849, 0.7689, 0.2500) and Ni at (0.1080, 0.6472, 0.7500).

As for the formation energy: -3.707 kcal/mol of atoms. The value obtained for the raw total energy is -9.1 eV/f.u. The value obtained for the total magnetization is 0.00 μB per cell.

=====

4.
DFT (PBE-GGA) results for a relaxed Rb3TcPd crystal.

The space group is Pm-3m (No. 221) and the conventional cell measures 6.4163, 6.4163 and 6.4163 Å, with angles of 90.00, 90.00 and 90.00 degrees. The asymmetric unit holds Rb at (0.0000, 0.0000, 0.5000), Tc at (0.5000, 0.5000, 0.5000) and Pd at (0.0000, 0.0000, 0.0000).

As for the formation energy: 26.461 kcal/mol of atoms. The value obtained for the raw total energy is -12.7 eV/f.u. The value obtained for the total magnetization is 4.00 μB per cell.

=====

5.
DFT (PBE-GGA) results for a relaxed Ba3Fe5S12 crystal.

The space group is Ia-3d (No. 230) and the conventional cell measures 15.2973, 15.2973 and 15.2973 Å, with angles of 90.00, 90.00 and 90.00 degrees. The asymmetric unit holds Ba at (0.0000, 0.2500, 0.1250), Fe at (0.0000, 0.0000, 0.0000), Fe at (0.0000, 0.2500, 0.3750) and S at (0.0415, 0.0442, 0.6416).

The raw formation energy comes out at -0.69 eV per atom. The value obtained for the raw total energy is -111.4 eV/f.u. The value obtained for the total magnetization is 118.65 μB per cell.